Compound: Ni12Sn3Te
Source: Alexandria
Functional: PBE
Structure: relaxed

Output
The magnetic moment comes out at 0.0 μB per cell. Its space group is No. 123. Its formation energy without anion corrections is -205 kJ/mol of formula units. As for the crystal system: tetragonal.

Cell: 3.7399 3.7399 14.9161 Å, 90.00 90.00 90.00°
Positions (direct):
1 Ni 0.0000 0.5000 0.3750
2 Ni 0.5000 0.5000 0.2484
3 Ni 0.5000 0.5000 0.0000
4 Ni 0.5000 0.5000 0.7516
5 Ni 0.5000 0.0000 0.3750
6 Ni 0.0000 0.5000 0.6250
7 Ni 0.0000 0.5000 0.8754
8 Ni 0.5000 0.0000 0.1246
9 Ni 0.0000 0.5000 0.1246
10 Ni 0.5000 0.0000 0.6250
11 Ni 0.5000 0.0000 0.8754
12 Ni 0.5000 0.5000 0.5000
13 Te 0.0000 0.0000 0.0000
14 Sn 0.0000 0.0000 0.7484
15 Sn 0.0000 0.0000 0.5000
16 Sn 0.0000 0.0000 0.2516

---

Compound: HAuI
Source: Alexandria
Functional: PBE
Structure: relaxed

Output
The magnetic moment comes out at 0.0 μB per cell. Its polymorph energy (0 for the lowest one) is 0.00 eV per formula unit. Its space group is No. 2. As for the crystal system: triclinic.

Cell: 4.8702 7.1376 7.5933 Å, 62.10 110.53 137.36°
Positions (direct):
1 H 0.4964 0.0778 0.8392
2 H 0.5036 0.9222 0.1608
3 Au 0.9199 0.2100 0.0000
4 Au 0.0801 0.7900 0.0000
5 I 0.5065 0.3577 0.2932
6 I 0.4935 0.6423 0.7068

---

Compound: RbTl3Sn
Source: Alexandria
Functional: PBE
Structure: relaxed

Output
The magnetic moment comes out at 0.0 μB per cell. For the formation energy, the calculation gives -0.09 eV per atom. Its polymorph energy (0 for the lowest one) is 0.00 eV per formula unit. Its space group is No. 42. As for the crystal system: orthorhombic.

Cell: 5.2933 5.2933 7.4642 Å, 69.27 69.27 90.10°
Positions (direct):
1 Tl 0.8478 0.3488 0.3036
2 Tl 0.9875 0.9875 0.0252
3 Tl 0.3488 0.8478 0.3036
4 Rb 0.5988 0.5988 0.8025
5 Sn 0.2183 0.2183 0.5628

---

Compound: Sc3Mo4
Source: Alexandria
Functional: PBE
Structure: relaxed

Output
The magnetic moment comes out at 0.0 μB per cell. For the formation energy, the calculation gives 0.53 eV per atom. Its polymorph energy (0 for the lowest one) is 3.72 eV per formula unit. Its space group is No. 191. As for the crystal system: hexagonal.

Cell: 5.4846 5.4846 4.9044 Å, 90.00 90.00 120.00°
Positions (direct):
1 Mo 0.3333 0.6667 0.5000
2 Mo 0.6667 0.3333 0.5000
3 Mo 0.0000 0.0000 0.7539
4 Mo 0.0000 0.0000 0.2461
5 Sc 0.5000 0.0000 0.0000
6 Sc 0.5000 0.5000 0.0000
7 Sc 0.0000 0.5000 0.0000

---

Compound: Sc2SbAu
Source: Alexandria
Functional: PBE
Structure: relaxed

Output
The magnetic moment comes out at 0.0 μB per cell. Its space group is No. 119. Its formation energy without anion corrections is -273 kJ/mol of formula units. As for the crystal system: tetragonal.

Cell: 5.8402 5.8402 5.8402 Å, 138.77 138.77 59.72°
Positions (direct):
1 Sb 0.7500 0.2500 0.5000
2 Au 0.5000 0.5000 0.0000
3 Sc 0.0000 0.0000 0.0000
4 Sc 0.2500 0.7500 0.5000

---

Compound: LaSmGeIr
Source: Alexandria
Functional: PBE
Structure: relaxed

Output
The magnetic moment comes out at 0.0 μB per cell. For the formation energy, the calculation gives -0.79 eV per atom. Its space group is No. 38. As for the crystal system: orthorhombic.

Cell: 4.2779 4.1698 5.9236 Å, 90.00 111.17 90.00°
Positions (direct):
1 Ge 0.5727 0.5000 0.1455
2 Sm 0.1412 0.0000 0.2824
3 Ir 0.4233 0.0000 0.8467
4 La 0.8627 0.5000 0.7254

---

Compound: LaTa2Mn
Source: Alexandria
Functional: PBE
Structure: relaxed

Output
The magnetic moment comes out at 0.0 μB per cell. For the formation energy, the calculation gives 0.54 eV per atom. Its polymorph energy (0 for the lowest one) is 1.14 eV per formula unit. Its space group is No. 44. As for the crystal system: orthorhombic.

Cell: 5.6103 5.6103 5.6103 Å, 146.80 126.62 64.33°
Positions (direct):
1 Ta 0.9593 0.9593 0.0000
2 Ta 0.2514 0.7514 0.5000
3 La 0.5239 0.5239 0.0000
4 Mn 0.7655 0.2655 0.5000

---

Compound: Dy2P3Pt9
Source: Alexandria
Functional: PBE
Structure: relaxed

Output
The magnetic moment comes out at 0.0 μB per cell. For the formation energy, the calculation gives -0.73 eV per atom. Its space group is No. 15. As for the crystal system: monoclinic.

Cell: 7.8652 7.8652 9.7192 Å, 90.27 114.03 119.42°
Positions (direct):
1 P 0.5000 0.5000 0.5000
2 P 0.1827 0.3752 0.9957
3 P 0.8173 0.6248 0.0043
4 P 0.1205 0.8130 0.4957
5 P 0.8795 0.1870 0.5043
6 P 0.5000 0.0000 0.0000
7 Pt 0.8414 0.0129 0.0647
8 Pt 0.1586 0.9871 0.9353
9 Pt 0.8933 0.1433 0.7500
10 Pt 0.5748 0.3736 0.0800
11 Pt 0.5572 0.0818 0.2713
12 Pt 0.1067 0.8567 0.2500
13 Pt 0.2186 0.6830 0.0861
14 Pt 0.7814 0.3170 0.9139
15 Pt 0.2063 0.5051 0.5800
16 Pt 0.4252 0.6264 0.9200
17 Pt 0.9031 0.8675 0.5861
18 Pt 0.0969 0.1325 0.4139
19 Pt 0.5518 0.2233 0.5647
20 Pt 0.7937 0.4949 0.4200
21 Pt 0.4428 0.9182 0.7287
22 Pt 0.3105 0.2860 0.2287
23 Pt 0.6895 0.7140 0.7713
24 Pt 0.4482 0.7767 0.4353
25 Dy 0.3387 0.2461 0.7486
26 Dy 0.9975 0.5900 0.7514
27 Dy 0.0025 0.4100 0.2486
28 Dy 0.6613 0.7539 0.2514